No. 1
DFT (GGA-PBE) results for an optimized crystal structure of Pm2AsBr.

- distance to the lowest polymorph of the same formula (meV/atom) = 104
- formation energy without anion corrections (eV/atom) = -1.300
- ρ (g/cm³) = 6.48
- DOS at the Fermi energy (states/eV per cell) = 3.41
- M_tot (μB per cell) = 0.00

Unit cell a=4.166 b=7.375 c=7.415 alpha=90.00 beta=90.00 gamma=90.00
Space group Pmmn (No. 59, origin choice 2)
Symmetry-distinct sites (fractional):
Pm 0.250 0.004 0.214 x4
As 0.250 0.750 0.908 x2
Br 0.250 0.250 0.575 x2

***

No. 2
DFT (GGA-PBE) results for an optimized crystal structure of Rb8Br5Cl3.

- formation energy without anion corrections (eV/atom) = -1.819
- ρ (g/cm³) = 3.01
- DOS at the Fermi energy (states/eV per cell) = 0.00
- M_tot (μB per cell) = 0.80

Unit cell a=9.7197 b=9.7197 c=24.0661 alpha=90.00 beta=90.00 gamma=120.00
Space group R-3m (No. 166, hexagonal axes)
Symmetry-distinct sites (fractional):
Rb 0.0000 0.0000 0.2458 x6
Rb 0.0055 0.5028 0.7529 x18
Br 0.0000 0.0000 0.0000 x3
Br 0.0000 0.0000 0.5000 x3
Br 0.0000 0.5000 0.0000 x9
Cl 0.0000 0.5000 0.5000 x9

***

> Among the records above, which one has the lowest M_tot?

Pm2AsBr